Record 1
A plane-wave DFT calculation with PBE-GGA was carried out for Mg2MoAu after structural relaxation.

Properties
Distance to the lowest polymorph of the same formula, meV/atom: 185

abc: 9.506 2.858 5.284
angles: 90.00 101.01 90.00
Space group C2/m (No. 12)
Unique sites:
Mg  0.244  0.000  0.256 (multiplicity 4)
Mo  0.000  0.000  0.500 (multiplicity 2)
Au  0.000  0.500  0.000 (multiplicity 2)

Record 2
A plane-wave DFT calculation with PBE-GGA was carried out for Mg2MoAu after structural relaxation.

Properties
Distance to the lowest polymorph of the same formula, meV/atom: 240

abc: 6.622 6.622 6.622
angles: 90.00 90.00 90.00
Space group F-43m (No. 216)
Unique sites:
Mg  0.000  0.000  0.000 (multiplicity 4)
Mg  0.250  0.250  0.250 (multiplicity 4)
Mo  0.250  0.250  0.750 (multiplicity 4)
Au  0.000  0.000  0.500 (multiplicity 4)

Record 3
A plane-wave DFT calculation with PBE-GGA was carried out for MgMo2Au after structural relaxation.

Properties
E_tot, eV/atom: -6.555

abc: 3.764 3.764 4.652
angles: 90.00 90.00 90.00
Space group P4/mmm (No. 123)
Unique sites:
Mg  0.000  0.000  0.000 (multiplicity 1)
Mo  0.000  0.500  0.500 (multiplicity 2)
Au  0.500  0.500  0.000 (multiplicity 1)

Record 4
A plane-wave DFT calculation with PBE-GGA was carried out for MgMoAu3 after structural relaxation.

Properties
Distance to the lowest polymorph of the same formula, meV/atom: 0

abc: 5.056 5.056 5.056
angles: 90.00 90.00 90.00
Space group Pm-3m (No. 221)
Unique sites:
Mg  0.000  0.000  0.000 (multiplicity 1)
Mo  0.500  0.500  0.500 (multiplicity 1)
Au  0.000  0.500  0.500 (multiplicity 3)

Record 5
A plane-wave DFT calculation with PBE-GGA was carried out for Mg2MoAu after structural relaxation.

Properties
Distance to the lowest polymorph of the same formula, meV/atom: 235

abc: 4.070 4.070 8.543
angles: 90.00 90.00 90.00
Space group I-4m2 (No. 119)
Unique sites:
Mg  0.000  0.000  0.000 (multiplicity 2)
Mg  0.000  0.500  0.250 (multiplicity 2)
Mo  0.000  0.500  0.750 (multiplicity 2)
Au  0.000  0.000  0.500 (multiplicity 2)

Record 6
A plane-wave DFT calculation with PBE-GGA was carried out for MgMo2Au after structural relaxation.

Properties
E_tot, eV/atom: -6.437

abc: 2.718 4.753 5.306
angles: 90.00 103.14 90.00
Space group P2/m (No. 10)
Unique sites:
Mg  0.000  0.000  0.000 (multiplicity 1)
Mo  0.489  0.500  0.761 (multiplicity 2)
Au  0.000  0.000  0.500 (multiplicity 1)

Record 7
A plane-wave DFT calculation with PBE-GGA was carried out for Mg2MoAu after structural relaxation.

Properties
Distance to the lowest polymorph of the same formula, meV/atom: 546

abc: 7.354 7.354 5.657
angles: 90.00 90.00 90.00
Space group I-42d (No. 122)
Unique sites:
Mg  0.232  0.250  0.125 (multiplicity 8)
Mo  0.000  0.000  0.500 (multiplicity 4)
Au  0.000  0.000  0.000 (multiplicity 4)

Record 8
A plane-wave DFT calculation with PBE-GGA was carried out for MgMo2Au after structural relaxation.

Properties
E_tot, eV/atom: -6.422

abc: 2.735 4.575 5.316
angles: 90.00 90.00 90.00
Space group Pmmm (No. 47)
Unique sites:
Mg  0.000  0.000  0.000 (multiplicity 1)
Mo  0.500  0.500  0.243 (multiplicity 2)
Au  0.000  0.000  0.500 (multiplicity 1)

Record 9
A plane-wave DFT calculation with PBE-GGA was carried out for MgMo2Au after structural relaxation.

Properties
E_tot, eV/atom: -6.323

abc: 3.836 3.893 9.017
angles: 90.00 90.00 90.00
Space group Cmmm (No. 65)
Unique sites:
Mg  0.000  0.000  0.000 (multiplicity 2)
Mo  0.000  0.500  0.253 (multiplicity 4)
Au  0.000  0.000  0.500 (multiplicity 2)

Record 10
A plane-wave DFT calculation with PBE-GGA was carried out for Mg2MoAu after structural relaxation.

Properties
Distance to the lowest polymorph of the same formula, meV/atom: 197

abc: 2.940 4.834 10.149
angles: 90.00 90.00 90.00
Space group Imm2 (No. 44)
Unique sites:
Mg  0.000  0.000  0.000 (multiplicity 2)
Mg  0.000  0.500  0.223 (multiplicity 2)
Mo  0.000  0.500  0.754 (multiplicity 2)
Au  0.000  0.000  0.491 (multiplicity 2)

Record 11
A plane-wave DFT calculation with PBE-GGA was carried out for MgMo2Au after structural relaxation.

Properties
E_tot, eV/atom: -6.356

abc: 6.437 6.437 6.437
angles: 90.00 90.00 90.00
Space group F-43m (No. 216)
Unique sites:
Mg  0.000  0.000  0.000 (multiplicity 4)
Mo  0.000  0.000  0.500 (multiplicity 4)
Mo  0.250  0.250  0.750 (multiplicity 4)
Au  0.250  0.250  0.250 (multiplicity 4)

Record 12
A plane-wave DFT calculation with PBE-GGA was carried out for MgMo2Au after structural relaxation.

Properties
E_tot, eV/atom: -5.839

abc: 7.642 7.642 5.096
angles: 90.00 90.00 90.00
Space group I-42d (No. 122)
Unique sites:
Mg  0.000  0.000  0.000 (multiplicity 4)
Mo  0.229  0.250  0.625 (multiplicity 8)
Au  0.000  0.000  0.500 (multiplicity 4)

Record 13
A plane-wave DFT calculation with PBE-GGA was carried out for Mg2MoAu after structural relaxation.

Properties
Distance to the lowest polymorph of the same formula, meV/atom: 188

abc: 9.946 2.836 5.164
angles: 90.00 100.21 90.00
Space group Cm (No. 8)
Unique sites:
Mg  0.000  0.000  0.000 (multiplicity 2)
Mg  0.237  0.000  0.733 (multiplicity 2)
Mo  0.253  0.500  0.240 (multiplicity 2)
Au  0.495  0.000  0.483 (multiplicity 2)

Record 14
A plane-wave DFT calculation with PBE-GGA was carried out for MgMo2Au after structural relaxation.

Properties
E_tot, eV/atom: -6.563

abc: 3.296 3.296 6.291
angles: 90.00 90.00 90.00
Space group P4mm (No. 99)
Unique sites:
Mg  0.000  0.000  0.000 (multiplicity 1)
Mo  0.000  0.000  0.473 (multiplicity 1)
Mo  0.500  0.500  0.284 (multiplicity 1)
Au  0.500  0.500  0.771 (multiplicity 1)

Record 15
A plane-wave DFT calculation with PBE-GGA was carried out for MgMo2Au after structural relaxation.

Properties
E_tot, eV/atom: -6.206

abc: 2.8451 2.8451 29.1681
angles: 90.00 90.00 120.00
Space group R-3m (No. 166, hexagonal axes)
Unique sites:
Mg  0.0000  0.0000  0.0000 (multiplicity 3)
Mo  0.0000  0.0000  0.2485 (multiplicity 6)
Au  0.0000  0.0000  0.5000 (multiplicity 3)

Record 16
A plane-wave DFT calculation with PBE-GGA was carried out for MgMo4Au after structural relaxation.

Properties
E_tot, eV/atom: -7.642

abc: 7.471 7.471 7.471
angles: 90.00 90.00 90.00
Space group F-43m (No. 216)
Unique sites:
Mg  0.000  0.000  0.000 (multiplicity 4)
Mo  0.125  0.125  0.625 (multiplicity 16)
Au  0.250  0.250  0.250 (multiplicity 4)

Record 17
A plane-wave DFT calculation with PBE-GGA was carried out for Mg2MoAu after structural relaxation.

Properties
Distance to the lowest polymorph of the same formula, meV/atom: 230

abc: 6.554 6.554 6.554
angles: 90.00 90.00 90.00
Space group Fm-3m (No. 225)
Unique sites:
Mg  0.250  0.250  0.250 (multiplicity 8)
Mo  0.000  0.000  0.000 (multiplicity 4)
Au  0.000  0.000  0.500 (multiplicity 4)

Record 18
A plane-wave DFT calculation with PBE-GGA was carried out for Mg2MoAu after structural relaxation.

Properties
Distance to the lowest polymorph of the same formula, meV/atom: 195

abc: 2.769 4.698 5.516
angles: 90.00 100.54 90.00
Space group Pm (No. 6)
Unique sites:
Mg  0.000  0.000  0.000 (multiplicity 1)
Mg  0.209  0.500  0.733 (multiplicity 1)
Mo  0.693  0.500  0.236 (multiplicity 1)
Au  0.419  0.000  0.491 (multiplicity 1)

Record 19
A plane-wave DFT calculation with PBE-GGA was carried out for Mg2MoAu after structural relaxation.

Properties
Distance to the lowest polymorph of the same formula, meV/atom: 186

abc: 2.900 4.168 5.864
angles: 90.00 90.00 90.00
Space group Pmm2 (No. 25)
Unique sites:
Mg  0.000  0.000  0.000 (multiplicity 1)
Mg  0.500  0.500  0.272 (multiplicity 1)
Mo  0.000  0.000  0.511 (multiplicity 1)
Au  0.500  0.500  0.759 (multiplicity 1)

Record 20
A plane-wave DFT calculation with PBE-GGA was carried out for Mg2MoAu after structural relaxation.

Properties
Distance to the lowest polymorph of the same formula, meV/atom: 141

abc: 2.9589 2.9589 28.1900
angles: 90.00 90.00 120.00
Space group R-3m (No. 166, hexagonal axes)
Unique sites:
Mg  0.0000  0.0000  0.2487 (multiplicity 6)
Mo  0.0000  0.0000  0.0000 (multiplicity 3)
Au  0.0000  0.0000  0.5000 (multiplicity 3)

Number 1: volume 70.5 Å³/f.u.. Number 2: volume 72.6 Å³/f.u.. Number 3: volume 65.9 Å³/f.u.. Number 4: volume 129.2 Å³/f.u.. Number 5: volume 70.8 Å³/f.u.. Number 6: volume 66.7 Å³/f.u.. Number 7: volume 76.5 Å³/f.u.. Number 8: volume 66.5 Å³/f.u.. Number 9: volume 67.3 Å³/f.u.. Number 10: volume 72.1 Å³/f.u.. Number 11: volume 66.7 Å³/f.u.. Number 12: volume 74.4 Å³/f.u.. Number 13: volume 71.7 Å³/f.u.. Number 14: volume 68.4 Å³/f.u.. Number 15: volume 68.2 Å³/f.u.. Number 16: volume 104.2 Å³/f.u.. Number 17: volume 70.4 Å³/f.u.. Number 18: volume 70.6 Å³/f.u.. Number 19: volume 70.9 Å³/f.u.. Number 20: volume 71.2 Å³/f.u..